La2MnCrO PBE with a Hubbard U relaxed; E = -5.24 eV/atom
1.0
5.415 0.000 0.000
0.000 5.415 0.000
0.000 0.000 4.904
La Mn Cr O
2 1 1 1
Direct
0.000 0.500 0.000
0.500 0.000 0.000
0.000 0.000 0.500
0.000 0.000 0.000
0.500 0.500 0.500